VASP calculation (GGA+U) on a relaxed structure of Li4Co3Cu2Sb3O16.

- N(E_F): 0.086 states/eV/atom
- Total magnetization: 3.95 μB per formula unit
- Raw total energy: -158.61 eV per cell

Structure (extended XYZ):
```
28
Lattice="-0.7249 5.8192 -1.5739 -1.5052 -4.5010 -3.7175 -8.8428 -0.3514 4.3730" Properties=species:S:1:pos:R:3 pbc="T T T"
Li -2.3682 -1.2680 -2.3751
Li -0.2745 0.1609 -0.2632
Li -4.5317 -0.2834 1.9037
Li -6.2159 2.2274 0.4030
Co -7.5424 -0.6354 1.9508
Co -3.0241 0.9418 0.0768
Co -3.3607 3.8182 -0.6698
Cu -5.5545 -1.2229 -0.8849
Cu -1.1396 2.3735 -2.0897
Sb -8.2644 -2.8705 0.1383
Sb -8.6573 0.0115 -0.6683
Sb -4.1325 1.5930 -2.5163
O -4.9247 -3.1732 -1.7411
O -7.6456 -1.6437 -1.3837
O -9.1557 -1.1962 0.9269
O -7.4931 -4.5852 -0.6963
O -2.3679 5.6028 -0.7328
O -5.3396 -0.0502 -2.5013
O -6.6799 -2.1993 1.1131
O -7.0595 0.4047 0.4003
O -9.6025 1.6831 0.0232
O -4.0197 -0.7853 0.1627
O -2.5961 0.5537 -1.7625
O -2.8386 3.1742 -2.5795
O -4.4837 2.0715 -0.5913
O -8.3467 1.0021 2.7876
O -1.9477 2.5630 -0.1544
O -8.7332 4.1257 1.9365
```